1.
A relaxed structure of Ba4Ga2O. Source: the Alexandria database, functional PBE.

Results
ΔE to the lowest computed polymorph = 31 meV/atom
space group = I4/mmm (139)
uncorrected formation energy = -841 meV per atom

Lattice parameters (Å, degrees): 5.5295 5.5295 9.0723 72.26 72.26 90.00
Positions (direct):
Ba 0.5000 0.0000 0.0000
Ga 0.6220 0.6220 0.7560
Ga 0.3780 0.3780 0.2440
O 0.0000 0.0000 0.0000
Ba 0.8285 0.8285 0.3429
Ba 0.1715 0.1715 0.6570
Ba 0.0000 0.5000 0.0000

---

2.
A relaxed structure of CoTeW2. Source: the Alexandria database, functional PBE.

Results
space group = Pmmm (47)
uncorrected formation energy = 661 meV per atom

Lattice parameters (Å, degrees): 3.3134 4.2793 4.5786 90.00 90.00 90.00
Positions (direct):
W 0.5000 0.5000 0.0000
W 0.0000 0.0000 0.0000
Co 0.5000 0.0000 0.5000
Te 0.0000 0.5000 0.5000

---

3.
A relaxed structure of BeAg2As. Source: the Alexandria database, functional PBE.

Results
energy of formation = 29.5 kJ/mol of atoms
ΔE to the lowest computed polymorph = 95 meV/atom
space group = I-4m2 (119)

Lattice parameters (Å, degrees): 4.9784 4.9784 4.9784 133.15 133.15 68.41
Positions (direct):
Ag 0.2500 0.7500 0.5000
As 0.5000 0.5000 0.0000
Be 0.7500 0.2500 0.5000
Ag 0.0000 0.0000 0.0000

---

4.
A relaxed structure of LiTiHg2. Source: the Alexandria database, functional PBE.

Results
energy of formation = 17.3 kJ/mol of atoms
space group = I-42d (122)

Lattice parameters (Å, degrees): 7.3495 7.3495 6.0365 52.50 52.50 90.00
Positions (direct):
Hg 0.3750 0.3980 0.7500
Hg 0.6020 0.1250 0.2500
Li 0.5000 0.5000 0.0000
Li 0.2500 0.7500 0.5000
Hg 0.8750 0.8520 0.7500
Hg 0.1480 0.6250 0.2500
Ti 0.7500 0.2500 0.5000
Ti 0.0000 0.0000 0.0000

---

5.
A relaxed structure of PaTeSe2. Source: the Alexandria database, functional PBE.

Results
ΔE to the lowest computed polymorph = 196 meV/atom
space group = R3m (160)
uncorrected formation energy = -753 meV per atom

Lattice parameters (Å, degrees): 4.5483 4.5483 7.5647 72.50 72.50 60.00
Positions (direct):
Se 0.0520 0.0520 0.8439
Se 0.2760 0.2760 0.1719
Te 0.5165 0.5165 0.4504
Pa 0.6554 0.6554 0.0339

---

6.
A relaxed structure of CuPd2S2. Source: the Alexandria database, functional PBE.

Results
ΔE to the lowest computed polymorph = 0 meV/atom
space group = I4/mmm (139)
uncorrected formation energy = -158 meV per atom

Lattice parameters (Å, degrees): 3.3803 3.3803 8.2009 101.89 101.89 90.00
Positions (direct):
Cu 0.0000 0.0000 0.0000
Pd 0.6011 0.6011 0.2022
S 0.1409 0.1409 0.2818
Pd 0.3989 0.3989 0.7978
S 0.8591 0.8591 0.7182

---

7.
A relaxed structure of SiIrOs. Source: the Alexandria database, functional PBE.

Results
ΔE to the lowest computed polymorph = 0 meV/atom
space group = P3m1 (156)
uncorrected formation energy = -201 meV per atom

Lattice parameters (Å, degrees): 2.7915 2.7915 6.1234 90.00 90.00 120.00
Positions (direct):
Ir 0.0000 0.0000 0.9757
Os 0.6667 0.3333 0.3579
Si 0.3333 0.6667 0.6664

---

8.
A relaxed structure of Ba2CuAgGe. Source: the Alexandria database, functional PBE.

Results
energy of formation = -17.3 kJ/mol of atoms
space group = P4/mmm (123)

Lattice parameters (Å, degrees): 6.2110 6.2110 4.4602 90.00 90.00 90.00
Positions (direct):
Ag 0.5000 0.5000 0.5000
Ba 0.5000 0.0000 0.0000
Ba 0.0000 0.5000 0.0000
Ge 0.0000 0.0000 0.5000
Cu 0.0000 0.0000 0.0000